No. 1
Computed, not measured: a geometry-optimized YPuZnCd structure at the PBE level of DFT.

Computed properties:
DFT total energy in eV for the cell shown: -23.477
SG: F-43m

The structure in POSCAR format:
```
YPuZnCd
1.0
5.206 0.000 0.000
2.603 4.509 0.000
2.603 1.503 4.251
Y Zn Cd Pu
1 1 1 1
Direct
0.750 0.750 0.750
0.000 0.000 0.000
0.500 0.500 0.500
0.250 0.250 0.250
```

---

No. 2
Computed, not measured: a geometry-optimized PuZn2Cd10 structure at the PBE level of DFT.

Computed properties:
DFT total energy in eV for the cell shown: -26.297
SG: Fmmm

The structure in POSCAR format:
```
PuZn2Cd10
1.0
-1.061 1.119 5.578
-6.688 3.363 1.055
-3.577 -5.712 3.468
Pu Zn Cd
1 2 10
Direct
0.000 0.000 0.000
0.000 0.500 0.000
0.500 0.500 0.000
0.348 0.643 0.661
0.652 0.357 0.339
0.991 0.357 0.661
0.009 0.643 0.339
0.000 0.000 0.500
0.500 0.000 0.500
0.286 0.221 0.208
0.714 0.779 0.792
0.507 0.779 0.208
0.493 0.221 0.792
```

---

No. 3
Computed, not measured: a geometry-optimized PuZnCd2 structure at the PBE level of DFT.

Computed properties:
Energy above the most stable polymorph in this dataset in eV/f.u.: 0.388
SG: R-3m

The structure in POSCAR format:
```
PuZnCd2
1.0
-2.404 1.617 -1.065
-2.411 -1.464 -1.256
-6.210 -0.528 8.741
Zn Cd Pu
1 2 1
Direct
0.000 0.000 0.000
0.257 0.257 0.230
0.743 0.743 0.770
0.500 0.500 0.500
```

---

No. 4
Computed, not measured: a geometry-optimized PuZn4Cd8 structure at the PBE level of DFT.

Computed properties:
DFT total energy in eV for the cell shown: -27.143
SG: I4/mmm

The structure in POSCAR format:
```
PuZn4Cd8
1.0
-0.274 -3.205 4.599
-6.454 -3.647 0.498
2.567 -6.867 -1.208
Pu Zn Cd
1 4 8
Direct
0.000 0.000 0.000
0.000 0.000 0.500
0.500 0.000 0.500
0.000 0.500 0.000
0.500 0.500 0.000
0.000 0.346 0.654
0.000 0.654 0.346
0.346 0.654 0.654
0.654 0.346 0.346
0.500 0.784 0.216
0.500 0.216 0.784
0.284 0.216 0.216
0.716 0.784 0.784
```

---

No. 5
Computed, not measured: a geometry-optimized PuZn2Cd9 structure at the PBE level of DFT.

Computed properties:
DFT total energy in eV for the cell shown: -50.510
SG: I4_1/amd

The structure in POSCAR format:
```
PuZn2Cd9
1.0
0.977 -6.624 -3.530
7.413 -0.382 -5.347
4.990 -6.079 4.673
Pu Zn Cd
2 4 18
Direct
0.500 0.000 0.000
0.250 0.500 0.500
0.875 0.250 0.750
0.875 0.750 0.250
0.875 0.250 0.250
0.375 0.750 0.750
0.750 0.500 0.500
0.000 0.000 0.000
0.997 0.924 0.682
0.602 0.076 0.318
0.670 0.182 0.576
0.428 0.818 0.424
0.753 0.818 0.576
0.148 0.182 0.424
0.080 0.924 0.318
0.322 0.076 0.682
0.753 0.576 0.818
0.148 0.424 0.182
0.080 0.318 0.924
0.322 0.682 0.076
0.997 0.682 0.924
0.602 0.318 0.076
0.670 0.576 0.182
0.428 0.424 0.818
```

---

No. 6
Computed, not measured: a geometry-optimized PuZn3Cd9 structure at the PBE level of DFT.

Computed properties:
DFT total energy in eV for the cell shown: -26.698
SG: C2/m

The structure in POSCAR format:
```
PuZn3Cd9
1.0
-0.029 -5.110 2.520
4.316 -4.912 -3.629
5.408 -0.666 5.153
Pu Zn Cd
1 3 9
Direct
0.000 0.000 0.000
0.500 0.500 0.000
0.000 0.000 0.500
0.500 0.000 0.500
0.706 0.788 0.782
0.294 0.212 0.218
0.512 0.212 0.782
0.488 0.788 0.218
0.651 0.342 0.353
0.349 0.658 0.647
0.997 0.658 0.353
0.003 0.342 0.647
0.000 0.500 0.000
```

---

No. 7
Computed, not measured: a geometry-optimized PuZn2Cd structure at the PBE level of DFT.

Computed properties:
Energy above the most stable polymorph in this dataset in eV/f.u.: 0.239
SG: P4/mmm

The structure in POSCAR format:
```
PuZn2Cd
1.0
-1.185 -2.861 0.058
1.169 -0.426 2.836
-7.053 2.991 3.356
Zn Cd Pu
2 1 1
Direct
0.000 0.000 0.766
0.000 0.000 0.234
0.500 0.500 0.000
0.500 0.500 0.500
```

---

No. 8
Computed, not measured: a geometry-optimized PuZn2Cd structure at the PBE level of DFT.

Computed properties:
Energy above the most stable polymorph in this dataset in eV/f.u.: 0.000
SG: Fm-3m

The structure in POSCAR format:
```
PuZn2Cd
1.0
4.866 0.000 0.000
2.433 4.214 0.000
2.433 1.405 3.973
Zn Cd Pu
2 1 1
Direct
0.250 0.250 0.250
0.750 0.750 0.750
0.500 0.500 0.500
0.000 0.000 0.000
```